Material: NaLiNb
Method: DFT, PBE-GGA
State: relaxed

Cell and atoms, written as POSCAR:
```
NaLiNb
1.0
0.0000 3.5159 3.5159
3.5159 0.0000 3.5159
3.5159 3.5159 0.0000
Na Li Nb
1 1 1
direct
0.0000 0.0000 0.0000 Na
0.5000 0.5000 0.5000 Li
0.7500 0.7500 0.7500 Nb
```

Computed properties:
E_tot	-8.42	eV for the cell shown
space group	F-43m (216)
E above lowest polymorph	0	meV/atom